Model P:
! BaAgAu3 | Alexandria | PBE | relaxed; values from VASP
&SYSTEM
  ibrav = 0, nat = 10, ntyp = 3
/
ATOMIC_SPECIES
Ba 137.33 Ba.upf
Au 196.97 Au.upf
Ag 107.87 Ag.upf
CELL_PARAMETERS angstrom
6.5470 0.2774 0.0000
2.6545 5.9913 0.0001
0.0000 -0.0001 6.5825
ATOMIC_POSITIONS crystal
Ba 0.0150 0.2176 0.0524
Ba 0.5456 0.7481 0.5524
Au 0.0728 0.6903 0.3024
Au 0.0728 0.6903 0.8024
Ag 0.8697 0.0723 0.5524
Au 0.4877 0.2754 0.3024
Ag 0.6909 0.8934 0.0524
Au 0.4462 0.6488 0.0524
Au 0.4877 0.2754 0.8024
Au 0.1144 0.3169 0.5524
! - Space group: Cmcm, No. 63

=====

Model Q:
! BaAgAu3 | Alexandria | PBE | relaxed; values from VASP
&SYSTEM
  ibrav = 0, nat = 5, ntyp = 3
/
ATOMIC_SPECIES
Au 196.97 Au.upf
Ba 137.33 Ba.upf
Ag 107.87 Ag.upf
CELL_PARAMETERS angstrom
-1.6525 2.8595 4.0743
0.2643 -4.2365 3.0805
4.9706 1.1760 1.1907
ATOMIC_POSITIONS crystal
Au 0.0000 0.5000 0.0000
Ba 0.5000 0.5000 0.5000
Au 0.0000 0.0000 0.5000
Ag 0.0000 0.0000 0.0000
Au 0.5000 0.0000 0.0000
! - Space group: Pm-3m, No. 221

=====

Model R:
! BaAgAu3 | Alexandria | PBE | relaxed; values from VASP
&SYSTEM
  ibrav = 0, nat = 5, ntyp = 3
/
ATOMIC_SPECIES
Au 196.97 Au.upf
Ag 107.87 Ag.upf
Ba 137.33 Ba.upf
CELL_PARAMETERS angstrom
-1.4940 4.6332 -3.6159
-4.9654 -2.9911 -1.7810
-3.1443 2.5219 4.5307
ATOMIC_POSITIONS crystal
Au 0.0000 0.0000 0.5000
Au 0.0000 0.5000 0.0000
Ag 0.5000 0.5000 0.5000
Au 0.5000 0.0000 0.0000
Ba 0.0000 0.0000 0.0000
! - Space group: Pm-3m, No. 221

=====

Relative energies, unit meV per atom: model P 0; model Q 212; model R 1134

=====

Model P:
! BaCdAgAu2 | Alexandria | PBE | relaxed; values from VASP
&SYSTEM
  ibrav = 0, nat = 5, ntyp = 4
/
ATOMIC_SPECIES
Au 196.97 Au.upf
Ag 107.87 Ag.upf
Ba 137.33 Ba.upf
Cd 112.41 Cd.upf
CELL_PARAMETERS angstrom
5.3262 0.0000 0.0000
0.0000 5.1780 0.0000
0.0000 0.0000 5.3262
ATOMIC_POSITIONS crystal
Au 0.0000 0.0000 0.5000
Ag 0.0000 0.0000 0.0000
Au 0.5000 0.0000 0.0000
Ba 0.5000 0.5000 0.5000
Cd 0.0000 0.5000 0.0000
! - Space group: P4/mmm, No. 123

=====

Model Q:
! BaCdAgAu2 | Alexandria | PBE | relaxed; values from VASP
&SYSTEM
  ibrav = 0, nat = 5, ntyp = 4
/
ATOMIC_SPECIES
Au 196.97 Au.upf
Cd 112.41 Cd.upf
Ag 107.87 Ag.upf
Ba 137.33 Ba.upf
CELL_PARAMETERS angstrom
4.4505 0.0000 0.0000
0.0000 4.4505 0.0000
-2.2252 -2.2252 6.5035
ATOMIC_POSITIONS crystal
Au 0.6080 0.6080 0.2161
Au 0.3920 0.3920 0.7839
Cd 0.2500 0.7500 0.5000
Ag 0.7500 0.2500 0.5000
Ba 0.0000 0.0000 0.0000
! - Space group: I-4m2, No. 119

=====

Relative energies, unit meV per atom: model P 258; model Q 0

=====

Model P:
! Ba2AgHAu | Alexandria | PBE | relaxed; values from VASP
&SYSTEM
  ibrav = 0, nat = 5, ntyp = 4
/
ATOMIC_SPECIES
Ba 137.33 Ba.upf
Au 196.97 Au.upf
H 1.01 H.upf
Ag 107.87 Ag.upf
CELL_PARAMETERS angstrom
-0.0120 -5.8096 -0.4623
3.0812 -0.3988 4.9308
-3.3882 -0.1604 2.1043
ATOMIC_POSITIONS crystal
Ba 0.5000 0.0000 0.0000
Au 0.0000 0.0000 0.5000
Ba 0.0000 0.5000 0.0000
H 0.0000 0.0000 0.0000
Ag 0.5000 0.5000 0.5000
! - Space group: P4/mmm, No. 123

=====

Model Q:
! Ba2AgHAu | Alexandria | PBE | relaxed; values from VASP
&SYSTEM
  ibrav = 0, nat = 5, ntyp = 4
/
ATOMIC_SPECIES
Au 196.97 Au.upf
Ba 137.33 Ba.upf
Ag 107.87 Ag.upf
H 1.01 H.upf
CELL_PARAMETERS angstrom
5.7246 0.0000 0.0000
0.0000 5.7246 0.0000
0.0000 0.0000 4.1088
ATOMIC_POSITIONS crystal
Au 0.5000 0.5000 0.5000
Ba 0.0000 0.5000 0.0000
Ag 0.0000 0.0000 0.5000
Ba 0.5000 0.0000 0.0000
H 0.0000 0.0000 0.0000
! - Space group: P4/mmm, No. 123

=====

Relative energies, unit meV per atom: model P 24; model Q 0

=====

Model P:
! Ba2LiAgAu | Alexandria | PBE | relaxed; values from VASP
&SYSTEM
  ibrav = 0, nat = 10, ntyp = 4
/
ATOMIC_SPECIES
Ag 107.87 Ag.upf
Au 196.97 Au.upf
Li 6.94 Li.upf
Ba 137.33 Ba.upf
CELL_PARAMETERS angstrom
4.7429 0.0000 0.0000
0.0000 4.7429 0.0000
0.0000 0.0000 15.0208
ATOMIC_POSITIONS crystal
Ag 0.5000 0.0000 0.1026
Au 0.5000 0.0000 0.5989
Au 0.0000 0.5000 0.4011
Li 0.5000 0.5000 0.5000
Ba 0.0000 0.5000 0.6703
Ba 0.5000 0.0000 0.3297
Ba 0.5000 0.0000 0.8755
Ag 0.0000 0.5000 0.8974
Li 0.0000 0.0000 0.5000
Ba 0.0000 0.5000 0.1245
! - Space group: P4/nmm, No. 129

=====

Model Q:
! Ba2LiAgAu | Alexandria | PBE | relaxed; values from VASP
&SYSTEM
  ibrav = 0, nat = 5, ntyp = 4
/
ATOMIC_SPECIES
Ag 107.87 Ag.upf
Au 196.97 Au.upf
Ba 137.33 Ba.upf
Li 6.94 Li.upf
CELL_PARAMETERS angstrom
6.3068 0.0000 0.0000
0.0000 6.3068 0.0000
0.0000 0.0000 4.8884
ATOMIC_POSITIONS crystal
Ag 0.5000 0.5000 0.5000
Au 0.0000 0.0000 0.0000
Ba 0.0000 0.5000 0.0000
Li 0.0000 0.0000 0.5000
Ba 0.5000 0.0000 0.0000
! - Space group: P4/mmm, No. 123

=====

Relative energies, unit meV per atom: model P 0; model Q 123

=====

Model P:
! BaLiAgAu2 | Alexandria | PBE | relaxed; values from VASP
&SYSTEM
  ibrav = 0, nat = 5, ntyp = 4
/
ATOMIC_SPECIES
Au 196.97 Au.upf
Li 6.94 Li.upf
Ag 107.87 Ag.upf
Ba 137.33 Ba.upf
CELL_PARAMETERS angstrom
-3.7231 -1.6616 1.7199
-0.3042 -2.8274 -3.3902
5.3955 -1.9909 4.0641
ATOMIC_POSITIONS crystal
Au 0.6125 0.6125 0.2250
Li 0.7500 0.2500 0.5000
Ag 0.2500 0.7500 0.5000
Ba 0.0000 0.0000 0.0000
Au 0.3875 0.3875 0.7750
! - Space group: I-4m2, No. 119

=====

Model Q:
! BaLiAgAu2 | Alexandria | PBE | relaxed; values from VASP
&SYSTEM
  ibrav = 0, nat = 5, ntyp = 4
/
ATOMIC_SPECIES
Ag 107.87 Ag.upf
Au 196.97 Au.upf
Ba 137.33 Ba.upf
Li 6.94 Li.upf
CELL_PARAMETERS angstrom
-3.8849 -3.1232 -0.4951
3.0754 -3.9142 0.5593
-0.7214 0.1273 4.8572
ATOMIC_POSITIONS crystal
Ag 0.0000 0.0000 0.5000
Au 0.0000 0.5000 0.0000
Au 0.5000 0.0000 0.0000
Ba 0.5000 0.5000 0.5000
Li 0.0000 0.0000 0.0000
! - Space group: P4/mmm, No. 123

=====

Relative energies, unit meV per atom: model P 0; model Q 138

=====

Model P:
! Ba2MgAgAu | Alexandria | PBE | relaxed; values from VASP
&SYSTEM
  ibrav = 0, nat = 5, ntyp = 4
/
ATOMIC_SPECIES
Mg 24.30 Mg.upf
Ag 107.87 Ag.upf
Ba 137.33 Ba.upf
Au 196.97 Au.upf
CELL_PARAMETERS angstrom
6.2991 0.0000 0.0000
0.0000 6.2991 0.0000
0.0000 0.0000 5.0990
ATOMIC_POSITIONS crystal
Mg 0.0000 0.0000 0.5000
Ag 0.0000 0.0000 0.0000
Ba 0.5000 0.0000 0.0000
Ba 0.0000 0.5000 0.0000
Au 0.5000 0.5000 0.5000
! - Space group: P4/mmm, No. 123

=====

Model Q:
! Ba2MgAgAu | Alexandria | PBE | relaxed; values from VASP
&SYSTEM
  ibrav = 0, nat = 10, ntyp = 4
/
ATOMIC_SPECIES
Ba 137.33 Ba.upf
Au 196.97 Au.upf
Ag 107.87 Ag.upf
Mg 24.30 Mg.upf
CELL_PARAMETERS angstrom
4.7218 0.0000 0.0000
0.0000 4.7218 0.0000
0.0000 0.0000 15.9523
ATOMIC_POSITIONS crystal
Ba 0.0000 0.5000 0.6878
Au 0.0000 0.5000 0.8938
Ag 0.5000 0.0000 0.6026
Ag 0.0000 0.5000 0.3974
Ba 0.5000 0.0000 0.3122
Ba 0.5000 0.0000 0.8982
Ba 0.0000 0.5000 0.1018
Au 0.5000 0.0000 0.1062
Mg 0.0000 0.0000 0.5000
Mg 0.5000 0.5000 0.5000
! - Space group: P4/nmm, No. 129

=====

Relative energies, unit meV per atom: model P 315; model Q 0